# 1
Computed, not measured: Zr2N after structural relaxation at the PBE level of DFT.

Summary:
* SG: P4_2/mnm, No. 136
* magnetic moment: 0.00 μB per atom
* raw total energy: -9.69 eV/atom

Cell: 5.4219 5.4219 3.3129 Å, 90.00 90.00 90.00°
Closest atoms and distances in Å follow each position.
Fractional coordinates of all 6 atoms:
Zr 0.2040 0.2040 0.0000  3 N 2.27-2.28
Zr 0.2960 0.7040 0.5000  3 N 2.27-2.28
Zr 0.7040 0.2960 0.5000  3 N 2.27-2.28
Zr 0.7960 0.7960 0.0000  3 N 2.27-2.28
N 0.0000 0.0000 0.5000  6 Zr 2.27-2.28
N 0.5000 0.5000 0.0000  6 Zr 2.27-2.28


# 2
Computed, not measured: Nb2Fe3Mo4C3 after structural relaxation at the PBE level of DFT.

Summary:
* SG: C2/c, No. 15
* magnetic moment: 0.47 μB per atom
* raw total energy: -9.72 eV/atom

Cell: 5.2334 5.2334 13.4337 Å, 101.49 101.49 59.90°
Closest atoms and distances in Å follow each position.
Fractional coordinates of all 24 atoms:
Nb 0.0393 0.8719 0.6137  3 C 2.25-2.29
Nb 0.1281 0.9607 0.8863  3 C 2.25-2.29
Nb 0.8719 0.0393 0.1137  3 C 2.25-2.29
Nb 0.9607 0.1281 0.3863  3 C 2.25-2.29
Fe 0.0855 0.4096 0.7503  4 Mo 2.61-2.62, 4 Fe 2.61-2.62
Fe 0.4096 0.0855 0.2503  4 Mo 2.61-2.62, 4 Fe 2.61-2.62
Fe 0.4181 0.5819 0.2500  4 Fe 2.61-2.62, 4 Mo 2.62
Fe 0.5819 0.4181 0.7500  4 Fe 2.61-2.62, 4 Mo 2.62
Fe 0.5904 0.9145 0.7497  4 Mo 2.61-2.62, 4 Fe 2.61-2.62
Fe 0.9145 0.5904 0.2497  4 Mo 2.61-2.62, 4 Fe 2.61-2.62
Mo 0.1947 0.3595 0.0868  3 C 2.07-2.15
Mo 0.3003 0.4756 0.4132  3 C 2.07-2.15
Mo 0.3595 0.1947 0.5868  3 C 2.07-2.15
Mo 0.4756 0.3003 0.9132  3 C 2.07-2.15
Mo 0.5244 0.6997 0.0868  3 C 2.07-2.15
Mo 0.6405 0.8053 0.4132  3 C 2.07-2.15
Mo 0.6997 0.5244 0.5868  3 C 2.07-2.15
Mo 0.8053 0.6405 0.9132  3 C 2.07-2.15
C 0.0000 0.5000 0.5000  4 Mo 2.08, 2 Nb 2.29
C 0.1592 0.6816 0.0000  4 Mo 2.07-2.15, 2 Nb 2.25
C 0.3184 0.8408 0.5000  4 Mo 2.07-2.15, 2 Nb 2.25
C 0.5000 0.0000 0.0000  4 Mo 2.08, 2 Nb 2.29
C 0.6816 0.1592 0.5000  4 Mo 2.07-2.15, 2 Nb 2.25
C 0.8408 0.3184 0.0000  4 Mo 2.07-2.15, 2 Nb 2.25


# 3
Computed, not measured: La2TbMg3TlIn2 after structural relaxation at the PBE level of DFT.

Summary:
* SG: Amm2, No. 38
* magnetic moment: 0.00 μB per atom
* raw total energy: -3.40 eV/atom

Cell: 4.7848 7.7030 7.7030 Å, 119.15 90.00 90.00°
Closest atoms and distances in Å follow each position.
Fractional coordinates of all 9 atoms:
La 0.0000 0.2144 0.7856  1 Tl 3.34, 4 In 3.35, 4 Mg 3.48-3.73
La 0.0000 0.7856 0.2144  1 Tl 3.34, 4 In 3.35, 4 Mg 3.48-3.73
Tb 0.0000 0.3606 0.3606  1 Tl 3.24, 4 In 3.26, 2 Mg 3.54
Mg 0.5000 0.0258 0.0258  2 In 2.95, 2 Tl 3.09, 2 Mg 3.26
Mg 0.5000 0.5412 0.7841  2 In 2.98-3.05, 2 Tl 3.02, 2 Mg 3.23-3.26
Mg 0.5000 0.7841 0.5412  2 In 2.98-3.05, 2 Tl 3.02, 2 Mg 3.23-3.26
Tl 0.0000 0.7753 0.7753  6 Mg 3.02-3.09, 1 Tb 3.24, 2 La 3.34
In 0.5000 0.1252 0.4474  3 Mg 2.95-3.05, 2 Tb 3.26
In 0.5000 0.4474 0.1252  3 Mg 2.95-3.05, 2 Tb 3.26


# 4
Computed, not measured: SmTmTc after structural relaxation at the PBE level of DFT.

Summary:
* SG: F-43m, No. 216
* magnetic moment: 0.01 μB per atom
* formation energy: 0.90 eV/atom
* offset from the most stable computed form: 0 meV per atom
* raw total energy: -5.62 eV/atom

Cell: 4.7688 4.7688 4.7688 Å, 60.00 60.00 60.00°
Closest atoms and distances in Å follow each position.
Fractional coordinates of all 3 atoms:
Sm 0.0000 0.0000 0.0000  4 Tm 2.92
Tm 0.2500 0.2500 0.2500  4 Tc 2.92, 4 Sm 2.92
Tc 0.5000 0.5000 0.5000  4 Tm 2.92


# 5
Computed, not measured: TlCuF4 after structural relaxation at the PBE level of DFT.

Summary:
* SG: P2_1/c, No. 14
* raw total energy: -3.82 eV/atom

Cell: 5.3482 5.3599 5.5372 Å, 90.00 101.78 90.00°
Closest atoms and distances in Å follow each position.
Fractional coordinates of all 12 atoms:
Tl 0.0000 0.0000 0.0000  8 F 2.27-2.45
Tl 0.0000 0.5000 0.5000  8 F 2.27-2.45
Cu 0.5000 0.0000 0.5000  4 F 1.95-1.99
Cu 0.5000 0.5000 0.0000  4 F 1.95-1.99
F 0.2471 0.2355 0.3290  1 Cu 1.95
F 0.2471 0.2645 0.8290  1 Cu 1.95
F 0.2745 0.7423 0.3101  1 Cu 1.99
F 0.2745 0.7577 0.8101  1 Cu 1.99
F 0.7255 0.2423 0.1899  1 Cu 1.99
F 0.7255 0.2577 0.6899  1 Cu 1.99
F 0.7529 0.7355 0.1710  1 Cu 1.95
F 0.7529 0.7645 0.6710  1 Cu 1.95


# 6
Computed, not measured: BeNbH after structural relaxation at the PBE level of DFT.

Summary:
* SG: Cmcm, No. 63
* magnetic moment: 0.00 μB per atom
* raw total energy: -6.06 eV/atom

Cell: 4.9759 4.9759 3.4674 Å, 90.00 90.00 139.43°
Closest atoms and distances in Å follow each position.
Fractional coordinates of all 6 atoms:
Be 0.0624 0.9376 0.7500  2 Be 2.09
Be 0.9376 0.0624 0.2500  2 Be 2.09
Nb 0.3552 0.6448 0.7500  4 H 1.98-2.00
Nb 0.6448 0.3552 0.2500  4 H 1.98-2.00
H 0.2524 0.7476 0.2500  4 Nb 1.98-2.00
H 0.7476 0.2524 0.7500  4 Nb 1.98-2.00


# 7
Computed, not measured: LiScFeGe after structural relaxation at the PBE level of DFT.

Summary:
* SG: F-43m, No. 216
* magnetic moment: 0.56 μB per atom
* offset from the most stable computed form: 171 meV per atom
* raw total energy: -5.40 eV/atom

Cell: 4.4705 4.4705 4.4705 Å, 60.00 60.00 60.00°
Closest atoms and distances in Å follow each position.
Fractional coordinates of all 4 atoms:
Li 0.0000 0.0000 0.0000  4 Fe 2.74, 4 Ge 2.74
Sc 0.5000 0.5000 0.5000  4 Fe 2.74, 4 Ge 2.74
Fe 0.7500 0.7500 0.7500  4 Li 2.74, 4 Sc 2.74
Ge 0.2500 0.2500 0.2500  4 Li 2.74, 4 Sc 2.74


# 8
Computed, not measured: TbScCS after structural relaxation at the PBE level of DFT.

Summary:
* SG: P-6m2, No. 187
* magnetic moment: 0.00 μB per atom
* offset from the most stable computed form: 2 meV per atom
* raw total energy: -7.32 eV/atom

Cell: 3.5934 3.5934 12.4839 Å, 90.00 90.00 120.00°
Closest atoms and distances in Å follow each position.
Fractional coordinates of all 8 atoms:
Tb 0.0000 0.0000 0.1544  3 C 2.49
Tb 0.0000 0.0000 0.8456  3 C 2.49
Sc 0.3333 0.6667 0.3615  3 C 2.40
Sc 0.3333 0.6667 0.6385  3 C 2.40
C 0.6667 0.3333 0.2643  3 Sc 2.40, 3 Tb 2.49
C 0.6667 0.3333 0.7357  3 Sc 2.40, 3 Tb 2.49
S 0.0000 0.0000 0.5000  6 Sc 2.70
S 0.3333 0.6667 0.0000  6 Tb 2.83


# 9
Computed, not measured: Ba2ReAsS6 after structural relaxation at the PBE level of DFT.

Summary:
* SG: Fm-3m, No. 225
* magnetic moment: 0.17 μB per atom
* raw total energy: -5.34 eV/atom

Cell: 6.9016 6.9016 6.9016 Å, 60.00 60.00 60.00°
Closest atoms and distances in Å follow each position.
Fractional coordinates of all 10 atoms:
Ba 0.2500 0.2500 0.2500  12 S 3.45
Ba 0.7500 0.7500 0.7500  12 S 3.45
Re 0.0000 0.0000 0.0000  6 S 2.39
As 0.5000 0.5000 0.5000  6 S 2.49
S 0.2446 0.2446 0.7554  1 Re 2.39, 1 As 2.49
S 0.2446 0.7554 0.2446  1 Re 2.39, 1 As 2.49
S 0.2446 0.7554 0.7554  1 Re 2.39, 1 As 2.49
S 0.7554 0.2446 0.2446  1 Re 2.39, 1 As 2.49
S 0.7554 0.2446 0.7554  1 Re 2.39, 1 As 2.49
S 0.7554 0.7554 0.2446  1 Re 2.39, 1 As 2.49


# 10
Computed, not measured: AgBiSF2 after structural relaxation at the PBE level of DFT.

Summary:
* SG: Cmcm, No. 63
* raw total energy: -4.28 eV/atom

Cell: 7.1094 7.1094 7.3702 Å, 90.00 90.00 149.09°
Closest atoms and distances in Å follow each position.
Fractional coordinates of all 10 atoms:
Ag 0.0000 0.0000 0.0000  2 S 2.32
Ag 0.0000 0.0000 0.5000  2 S 2.32
Bi 0.2576 0.7424 0.7500  6 F 2.41-2.54, 2 S 2.69
Bi 0.7424 0.2576 0.2500  6 F 2.41-2.54, 2 S 2.69
S 0.1032 0.8968 0.2500  2 Ag 2.32
S 0.8968 0.1032 0.7500  2 Ag 2.32
F 0.3120 0.6880 0.0616  3 Bi 2.41-2.54, 2 F 2.70
F 0.3120 0.6880 0.4384  3 Bi 2.41-2.54, 2 F 2.70
F 0.6880 0.3120 0.5616  3 Bi 2.41-2.54, 2 F 2.70
F 0.6880 0.3120 0.9384  3 Bi 2.41-2.54, 2 F 2.70


# 11
Computed, not measured: InAg3WS4 after structural relaxation at the PBE level of DFT.

Summary:
* SG: P-43m, No. 215
* magnetic moment: 0.22 μB per atom
* raw total energy: -4.58 eV/atom

Cell: 6.2147 6.2147 6.2147 Å, 90.00 90.00 90.00°
Closest atoms and distances in Å follow each position.
Fractional coordinates of all 9 atoms:
In 0.0000 0.0000 0.0000  4 S 3.04
Ag 0.0000 0.5000 0.5000  4 S 2.60
Ag 0.5000 0.0000 0.5000  4 S 2.60
Ag 0.5000 0.5000 0.0000  4 S 2.60
W 0.5000 0.5000 0.5000  4 S 2.34
S 0.2823 0.2823 0.2823  1 W 2.34, 3 Ag 2.60
S 0.2823 0.7177 0.7177  1 W 2.34, 3 Ag 2.60
S 0.7177 0.2823 0.7177  1 W 2.34, 3 Ag 2.60
S 0.7177 0.7177 0.2823  1 W 2.34, 3 Ag 2.60


# 12
Computed, not measured: HfFeBiPd after structural relaxation at the PBE level of DFT.

Summary:
* SG: F-43m, No. 216
* magnetic moment: 0.61 μB per atom
* offset from the most stable computed form: 151 meV per atom
* raw total energy: -6.80 eV/atom

Cell: 4.6564 4.6564 4.6564 Å, 60.00 60.00 60.00°
Closest atoms and distances in Å follow each position.
Fractional coordinates of all 4 atoms:
Hf 0.0000 0.0000 0.0000  4 Bi 2.85, 4 Pd 2.85
Fe 0.5000 0.5000 0.5000  4 Pd 2.85, 4 Bi 2.85
Bi 0.2500 0.2500 0.2500  4 Fe 2.85, 4 Hf 2.85
Pd 0.7500 0.7500 0.7500  4 Hf 2.85, 4 Fe 2.85


> What is the formula in the seventh record?

LiScFeGe


> Look up the raw total energy of the fourth one.

-5.62 eV/atom


> Which of these has the highest raw total energy?

La2TbMg3TlIn2


> Look up the raw total energy of the eleventh one.

-4.58 eV/atom